Entry 1:
A geometry-optimized LiZn2TcRu structure. Source: the Alexandria database, functional PBE.

Cell lengths 4.915, 4.550, 4.915 Å; angles 90.00, 90.00, 90.00 degrees
Each line ends with the local moment (μB).
Fractional positions:
Li1 0.500 0.500 0.500  0.00
Zn1 0.000 0.000 0.500  0.01
Tc1 0.000 0.000 0.000  0.24
Zn2 0.500 0.000 0.000  0.01
Ru1 0.000 0.500 0.000  0.62

Output
DFT total energy = -4.01 eV per atom
volume = 110 Å³/f.u.
DOS at the Fermi energy = 0.978 states/eV/atom
space-group type = P4/mmm (123)
formation energy = 0.81 eV/atom

---

Entry 2:
A geometry-optimized LiZrTc2Ru structure. Source: the Alexandria database, functional PBE.

Cell lengths 4.141, 4.444, 4.141 Å; angles 90.00, 90.00, 90.00 degrees
Fractional positions:
Li1 0.000 0.000 0.000
Ru1 0.500 0.500 0.500
Zr1 0.000 0.500 0.000
Tc1 0.000 0.000 0.500
Tc2 0.500 0.000 0.000

Output
DFT total energy = -7.12 eV per atom
volume = 76 Å³/f.u.
DOS at the Fermi energy = 1.323 states/eV/atom
space-group type = P4/mmm (123)
formation energy = 0.97 eV/atom

---

Entry 3:
A geometry-optimized LiTe2Ru structure. Source: the Alexandria database, functional PBE.

Cell lengths 4.799, 4.799, 3.394 Å; angles 89.99, 89.99, 96.03 degrees
Fractional positions:
Te1 0.000 0.000 0.000
Ru1 0.000 0.500 0.500
Li1 0.500 0.000 0.500
Te2 0.500 0.500 0.000

Output
DFT total energy = -4.38 eV per atom
volume = 78 Å³/f.u.
ΔE_f (raw) = -10 meV/atom
DOS at the Fermi energy = 0.752 states/eV/atom
space-group type = Cmmm (65)

---

Entry 4:
A geometry-optimized LiTe2Ru structure. Source: the Alexandria database, functional PBE.

Cell lengths 9.476, 9.476, 9.476 Å; angles 19.89, 19.89, 19.89 degrees
Fractional positions:
Te1 0.909 0.909 0.909
Li1 0.500 0.500 0.500
Ru1 0.000 0.000 0.000
Te2 0.091 0.091 0.091

Output
DFT total energy = -4.13 eV per atom
volume = 86 Å³/f.u.
ΔE_f (raw) = 235 meV/atom
DOS at the Fermi energy = 0.755 states/eV/atom
space-group type = R-3m (166)

---

Entry 5:
A geometry-optimized Li2Te2Ru structure. Source: the Alexandria database, functional PBE.

Cell lengths 7.082, 7.082, 4.247 Å; angles 90.00, 90.00, 90.00 degrees
Each line ends with the local moment (μB).
Fractional positions:
Li1 0.154 0.654 0.500  0.00
Te1 0.837 0.663 0.000  0.10
Li2 0.346 0.154 0.500  0.00
Te2 0.337 0.837 0.000  0.10
Ru1 0.000 0.000 0.000  1.11
Li3 0.846 0.346 0.500  0.00
Ru2 0.500 0.500 0.000  1.10
Te3 0.163 0.337 0.000  0.10
Li4 0.654 0.846 0.500  0.00
Te4 0.663 0.163 0.000  0.10

Output
DFT total energy = -4.11 eV per atom
volume = 107 Å³/f.u.
ΔE_f (raw) = -236 meV/atom
DOS at the Fermi energy = 0.907 states/eV/atom
space-group type = P4/mbm (127)

---

Entry 6:
A geometry-optimized LiTe2Ru structure. Source: the Alexandria database, functional PBE.

Cell lengths 7.715, 7.715, 7.715 Å; angles 152.73, 155.66, 36.88 degrees
Fractional positions:
Te1 0.062 0.062 0.000
Ru1 0.199 0.699 0.500
Li1 0.454 0.454 0.000
Te2 0.785 0.285 0.500

Output
DFT total energy = -4.57 eV per atom
volume = 87 Å³/f.u.
ΔE_f (raw) = -200 meV/atom
DOS at the Fermi energy = 0.428 states/eV/atom
space-group type = Imm2 (44)

---

Entry 7:
A geometry-optimized Li2TeRu2 structure. Source: the Alexandria database, functional PBE.

Cell lengths 6.449, 6.449, 4.270 Å; angles 90.00, 90.00, 90.00 degrees
Fractional positions:
Te1 0.000 0.000 0.000
Li1 0.341 0.159 0.500
Li2 0.659 0.841 0.500
Ru1 0.133 0.367 0.000
Li3 0.841 0.341 0.500
Li4 0.159 0.659 0.500
Ru2 0.367 0.867 0.000
Ru3 0.867 0.633 0.000
Ru4 0.633 0.133 0.000
Te2 0.500 0.500 0.000

Output
polymorph energy (0 for the lowest one) = 0 meV per atom
DFT total energy = -5.02 eV per atom
volume = 89 Å³/f.u.
ΔE_f (raw) = 86 meV/atom
DOS at the Fermi energy = 0.575 states/eV/atom
space-group type = P4/mbm (127)

---

Entry 8:
A geometry-optimized LiTe2Ru structure. Source: the Alexandria database, functional PBE.

Cell lengths 5.806, 5.806, 5.806 Å; angles 140.08, 140.08, 57.74 degrees
Fractional positions:
Li1 0.500 0.500 0.000
Te1 0.000 0.000 0.000
Ru1 0.750 0.250 0.500
Te2 0.250 0.750 0.500

Output
DFT total energy = -4.25 eV per atom
volume = 80 Å³/f.u.
ΔE_f (raw) = 122 meV/atom
DOS at the Fermi energy = 0.855 states/eV/atom
space-group type = I-4m2 (119)

---

Entry 9:
A geometry-optimized LiTe2Ru structure. Source: the Alexandria database, functional PBE.

Cell lengths 3.934, 3.202, 7.226 Å; angles 90.53, 90.00, 90.00 degrees
Fractional positions:
Li1 0.500 0.250 0.250
Te1 0.000 0.850 0.986
Te2 0.000 0.650 0.514
Ru1 0.500 0.750 0.750

Output
DFT total energy = -4.41 eV per atom
volume = 91 Å³/f.u.
ΔE_f (raw) = -47 meV/atom
DOS at the Fermi energy = 0.569 states/eV/atom
space-group type = P2/m (10)

---

Entry 10:
A geometry-optimized Li2TeRu structure. Source: the Alexandria database, functional PBE.

Cell lengths 4.503, 5.424, 3.207 Å; angles 73.82, 87.65, 113.77 degrees
Each line ends with the local moment (μB).
Fractional positions:
Li1 0.000 0.000 0.000  0.00
Te1 0.500 0.500 0.000  0.01
Li2 0.500 0.000 0.500  0.00
Ru1 0.000 0.500 0.500  0.23

Output
DFT total energy = -4.06 eV per atom
volume = 68 Å³/f.u.
ΔE_f (raw) = 0 meV/atom
DOS at the Fermi energy = 0.845 states/eV/atom
space-group type = C2/m (12)

---

Entry 11:
A geometry-optimized LiTe2Ru structure. Source: the Alexandria database, functional PBE.

Cell lengths 6.951, 6.951, 6.951 Å; angles 33.42, 33.42, 33.42 degrees
Fractional positions:
Li1 0.250 0.250 0.250
Ru1 0.750 0.750 0.750
Te1 0.487 0.487 0.487
Te2 0.013 0.013 0.013

Output
DFT total energy = -4.67 eV per atom
volume = 91 Å³/f.u.
ΔE_f (raw) = -299 meV/atom
DOS at the Fermi energy = 1.014 states/eV/atom
space-group type = R-3m (166)

---

Entry 12:
A geometry-optimized Li2TeRu2 structure. Source: the Alexandria database, functional PBE.

Cell lengths 3.253, 3.253, 7.636 Å; angles 77.70, 77.70, 90.00 degrees
Fractional positions:
Ru1 0.601 0.601 0.799
Li1 0.250 0.750 0.500
Te1 0.000 0.000 0.000
Ru2 0.399 0.399 0.201
Li2 0.750 0.250 0.500

Output
polymorph energy (0 for the lowest one) = 331 meV per atom
DFT total energy = -4.69 eV per atom
volume = 77 Å³/f.u.
ΔE_f (raw) = 417 meV/atom
DOS at the Fermi energy = 0.861 states/eV/atom
space-group type = I4/mmm (139)